## Na3Ho3MoO8 (PBE with a Hubbard U)

Data for an optimized crystal structure of Na3Ho3MoO8.

As for the crystal system: monoclinic. As for the total energy: -6.902 eV per atom.

The space group is C2/m (No. 12) and the conventional cell measures 11.6790, 6.6917 and 6.7661 Å, with angles of 90.00, 124.56 and 90.00 degrees. The distinct sites, in fractional coordinates, are Na at (0.0000, 0.0000, 0.0000), Na at (0.2500, 0.2500, 0.0000), Ho at (0.0000, 0.5000, 0.5000), Ho at (0.2500, 0.2500, 0.5000), Mo at (0.0000, 0.0000, 0.5000), O at (0.0116, 0.2294, 0.3037), O at (0.2248, 0.0000, 0.7004) and O at (0.2344, 0.5000, 0.7081).